[1]
# Ba4LaTe

A geometry-optimized Ba4LaTe structure (PBE, Alexandria via LeMat-Bulk).

Values from the calculation:
E_form (uncorrected) = 173 meV per atom
Raw total energy = -2.45 eV/atom

abc: 7.4931 7.4931 7.4931
angles: 60.00 60.00 60.00
With the nearest neighbours (Å) after each atom.
Fractional positions:
Ba  0.8763  0.3746  0.3746  6 Ba 3.73-3.76
Ba  0.3746  0.3746  0.8763  6 Ba 3.73-3.76
Ba  0.3746  0.8763  0.3746  6 Ba 3.73-3.76
Ba  0.3746  0.3746  0.3746  6 Ba 3.73-3.76
La  0.7500  0.7500  0.7500  12 Ba 4.39, 4 Te 4.59
Te  0.0000  0.0000  0.0000  12 Ba 4.39, 4 La 4.59

***

[2]
# Hf3FeS

A geometry-optimized Hf3FeS structure (PBE, Alexandria via LeMat-Bulk).

Values from the calculation:
E_form (uncorrected) = 111 meV per atom
Raw total energy = -8.38 eV/atom
Offset from the most stable computed form = 0.000 eV per atom

abc: 4.6703 4.6703 4.6703
angles: 90.00 90.00 90.00
With the nearest neighbours (Å) after each atom.
Fractional positions:
S  0.0000  0.0000  0.0000  6 Hf 2.34
Hf  0.0000  0.5000  0.0000  2 S 2.34
Hf  0.0000  0.0000  0.5000  2 S 2.34
Hf  0.5000  0.0000  0.0000  2 S 2.34
Fe  0.5000  0.5000  0.5000  12 Hf 3.30

***

[3]
# Zr2TlIn

A geometry-optimized Zr2TlIn structure (PBE, Alexandria via LeMat-Bulk).

Values from the calculation:
Raw total energy = -5.58 eV/atom
Offset from the most stable computed form = 0.160 eV per atom

abc: 5.0505 5.0505 5.0505
angles: 60.00 60.00 60.00
With the nearest neighbours (Å) after each atom.
Fractional positions:
Tl  0.5000  0.5000  0.5000  8 Zr 3.09
Zr  0.2500  0.2500  0.2500  4 Tl 3.09, 4 In 3.09
Zr  0.7500  0.7500  0.7500  4 Tl 3.09, 4 In 3.09
In  0.0000  0.0000  0.0000  8 Zr 3.09

***

[4]
# TmHF4

A geometry-optimized TmHF4 structure (PBE, Alexandria via LeMat-Bulk).

Values from the calculation:
Raw total energy = -5.77 eV/atom
Offset from the most stable computed form = 0.024 eV per atom

abc: 5.8319 5.8319 5.8319
angles: 108.65 108.65 111.13
With the nearest neighbours (Å) after each atom.
Fractional positions:
Tm  0.6583  0.6583  0.0000  6 F 2.12-2.35
Tm  0.4083  0.9083  0.5000  6 F 2.12-2.35
H  0.0432  0.0432  0.0000  2 F 1.16
H  0.7932  0.2932  0.5000  2 F 1.16
F  0.3978  0.2096  0.8118  2 Tm 2.12-2.14
F  0.7514  0.4174  0.6660  1 H 1.16
F  0.9596  0.6478  0.3118  2 Tm 2.12-2.14
F  0.1674  0.0014  0.1660  1 H 1.16
F  0.3360  0.6478  0.6882  2 Tm 2.12-2.14
F  0.8355  0.0014  0.8340  1 H 1.16
F  0.7514  0.0855  0.3340  1 H 1.16
F  0.3978  0.5860  0.1882  2 Tm 2.12-2.14

***

[5]
# K2PtW

A geometry-optimized K2PtW structure (PBE, Alexandria via LeMat-Bulk).

Values from the calculation:
Raw total energy = -4.31 eV/atom
Offset from the most stable computed form = 0.458 eV per atom

abc: 5.9292 2.8229 5.0785
angles: 86.52 90.00 90.00
With the nearest neighbours (Å) after each atom.
Fractional positions:
K  0.0000  0.0174  0.0065  6 K 2.82-3.09
K  0.0000  0.4826  0.4935  6 K 2.82-3.09
Pt  0.5000  0.2500  0.2500  2 Pt 2.82, 4 W 2.83-2.98
W  0.5000  0.7500  0.7500  2 W 2.82, 4 Pt 2.83-2.98

***

[6]
# KRePt

A geometry-optimized KRePt structure (PBE, Alexandria via LeMat-Bulk).

Values from the calculation:
Raw total energy = -6.28 eV/atom
Offset from the most stable computed form = 0.025 eV per atom

abc: 4.1943 13.1392 2.8027
angles: 87.17 90.00 98.81
With the nearest neighbours (Å) after each atom.
Fractional positions:
Re  0.0371  0.5820  0.2310  4 Re 2.55-2.80, 4 Pt 2.66
Re  0.9629  0.4180  0.7690  4 Re 2.55-2.80, 4 Pt 2.66
K  0.8412  0.1656  0.8273  2 K 2.80
K  0.1588  0.8344  0.1727  2 K 2.80
Pt  0.4321  0.3533  0.2840  4 Re 2.66, 2 Pt 2.80
Pt  0.5679  0.6467  0.7160  4 Re 2.66, 2 Pt 2.80

***

[7]
# LaAgAs2

A geometry-optimized LaAgAs2 structure (PBE, Alexandria via LeMat-Bulk).

Values from the calculation:
Raw total energy = -4.59 eV/atom

abc: 5.0643 5.0643 5.0643
angles: 60.00 60.00 60.00
With the nearest neighbours (Å) after each atom.
Fractional positions:
As  0.0000  0.0000  0.0000  4 As 3.10, 4 La 3.10
As  0.2500  0.2500  0.2500  4 Ag 3.10, 4 As 3.10
Ag  0.5000  0.5000  0.5000  4 As 3.10, 4 La 3.10
La  0.7500  0.7500  0.7500  4 As 3.10, 4 Ag 3.10

***

[8]
# Tl2CrOsI

A geometry-optimized Tl2CrOsI structure (PBE, Alexandria via LeMat-Bulk).

Values from the calculation:
E_form (uncorrected) = 2405 meV per atom
Raw total energy = -3.02 eV/atom

abc: 6.0712 4.7469 6.0712
angles: 90.00 90.00 90.00
With the nearest neighbours (Å) after each atom.
Fractional positions:
I  0.0000  0.0000  0.0000  2 Cr 2.37
Cr  0.0000  0.5000  0.0000  2 I 2.37
Tl  0.0000  0.0000  0.5000  2 I 3.04
Tl  0.5000  0.0000  0.0000  2 I 3.04
Os  0.5000  0.5000  0.5000  8 Tl 3.85, 4 Cr 4.29